# 1
The following is a DFT calculation (PBE) of a geometry-optimized Ce2NdPu3N6 structure.

Results
Magnetic moment ... 15.35 Bohr magnetons per cell

Unit cell a=6.131 b=6.131 c=6.114 alpha=99.62 beta=99.62 gamma=120.01
Fractional coordinates of all 12 atoms:
Ce1 0.333 0.667 0.000
Ce2 0.667 0.333 0.000
Nd1 0.000 0.000 0.000
Pu1 0.166 0.834 0.500
Pu2 0.834 0.166 0.500
Pu3 0.500 0.500 0.500
N1 0.911 0.571 0.733
N2 0.750 0.750 0.268
N3 0.089 0.429 0.267
N4 0.571 0.911 0.733
N5 0.250 0.250 0.732
N6 0.429 0.089 0.267

# 2
The following is a DFT calculation (PBE) of a geometry-optimized Ce3Nd2PuN6 structure.

Results
Magnetic moment ... 5.87 Bohr magnetons per cell

Unit cell a=6.205 b=6.205 c=6.200 alpha=99.62 beta=99.62 gamma=119.99
Fractional coordinates of all 12 atoms:
Ce1 0.166 0.834 0.500
Ce2 0.834 0.166 0.500
Ce3 0.500 0.500 0.500
Nd1 0.333 0.667 0.000
Nd2 0.667 0.333 0.000
Pu1 0.000 0.000 0.000
N1 0.914 0.595 0.743
N2 0.766 0.766 0.257
N3 0.086 0.405 0.257
N4 0.595 0.914 0.743
N5 0.234 0.234 0.743
N6 0.405 0.086 0.257

# 3
The following is a DFT calculation (PBE) of a geometry-optimized CeNdReN4 structure.

Results
Magnetic moment ... 0.00 Bohr magnetons per cell

Unit cell a=5.471 b=5.506 c=6.873 alpha=90.00 beta=113.45 gamma=90.00
Fractional coordinates of all 14 atoms:
Ce1 0.101 0.250 0.203
Ce2 0.899 0.750 0.797
Nd1 0.603 0.750 0.206
Nd2 0.397 0.250 0.794
Re1 0.255 0.750 0.511
Re2 0.745 0.250 0.489
N1 0.927 0.250 0.855
N2 0.418 0.750 0.836
N3 0.073 0.750 0.145
N4 0.582 0.250 0.164
N5 0.500 0.500 0.500
N6 0.000 0.000 0.500
N7 0.500 0.000 0.500
N8 0.000 0.500 0.500

# 4
The following is a DFT calculation (PBE) of a geometry-optimized CeNd2ReN4 structure.

Results
Magnetic moment ... 1.46 Bohr magnetons per cell

Unit cell a=3.511 b=6.233 c=12.149 alpha=90.00 beta=90.00 gamma=106.36
Fractional coordinates of all 16 atoms:
Ce1 0.117 0.235 0.750
Ce2 0.883 0.765 0.250
Nd1 0.368 0.735 0.541
Nd2 0.632 0.265 0.041
Nd3 0.632 0.265 0.459
Nd4 0.368 0.735 0.959
Re1 0.852 0.704 0.750
Re2 0.148 0.296 0.250
N1 0.272 0.545 0.139
N2 0.728 0.455 0.639
N3 0.728 0.455 0.861
N4 0.272 0.545 0.361
N5 0.000 0.000 0.500
N6 0.000 0.000 0.000
N7 0.432 0.865 0.750
N8 0.568 0.135 0.250

Respective energy relative to the elements, uncorrected values: -1362.7; -1412.3; -967.4; -874.6 meV/atom.